Record 1
Dy2Al2PdPt5 | the Alexandria database | PBE | optimized geometry; DOS(E_F) = 0.336 states/eV/atom; mass density = 13.842 g cm⁻³; SG = P4/mbm; energy of formation = -9.38 eV/f.u.
1.0
-0.5298 3.6684 -0.5509
-8.2136 -1.8981 -4.7401
-4.9195 0.5374 8.3092
Pt Dy Pd Al
10 4 2 4
direct
0.5000 0.2064 0.0661
0.5000 0.4339 0.2936
0.5000 0.5661 0.7064
0.5000 0.0661 0.7936
0.5000 0.7064 0.4339
0.5000 0.7936 0.9339
0.5000 0.9339 0.2064
0.5000 0.0000 0.5000
0.5000 0.5000 0.0000
0.5000 0.2936 0.5661
0.0000 0.8216 0.6784
0.0000 0.1784 0.3216
0.0000 0.3216 0.8216
0.0000 0.6784 0.1784
0.0000 0.0000 0.0000
0.0000 0.5000 0.5000
0.0000 0.3790 0.1210
0.0000 0.8790 0.3790
0.0000 0.6210 0.8790
0.0000 0.1210 0.6210

---

Record 2
CsKTl4Pt2 | the Alexandria database | PBE | optimized geometry; DOS(E_F) = 0.669 states/eV/atom; mass density = 6.831 g cm⁻³; SG = P4/mmm; energy of formation = -0.08 eV/f.u.
1.0
-3.6297 -3.0275 2.3181
-1.6501 -1.6381 -4.7231
7.9027 -9.1570 0.4149
K Pt Tl Cs
1 2 4 1
direct
0.0000 0.0000 0.5000
0.5000 0.5000 0.7377
0.5000 0.5000 0.2623
0.0000 0.5000 0.2651
0.5000 0.0000 0.7349
0.5000 0.0000 0.2651
0.0000 0.5000 0.7349
0.0000 0.0000 0.0000